# 1
# LiDy12In3, relaxed, DFT PBE
# ΔE_f ... -0.148 eV/atom
# D(E_F) ... 1.5188 states/eV per atom
# Calculated total energy ... -4.2322 eV per atom
# Density ... 8.3 g/cm³
# Magnetic moment ... 1.1 μB/f.u.
data_LiDy12In3
_symmetry_space_group_name_H-M 'P 4/m m m'
_symmetry_Int_Tables_number 123
_symmetry_space_group_name_Hall '-P 4 2'
_cell_length_a 4.8498
_cell_length_b 4.8498
_cell_length_c 19.4609
_cell_angle_alpha 90.00
_cell_angle_beta 90.00
_cell_angle_gamma 90.00
loop_
_atom_site_label
_atom_site_type_symbol
_atom_site_fract_x
_atom_site_fract_y
_atom_site_fract_z
Li1 Li 0.0000 0.0000 0.0000
Dy1 Dy 0.0000 0.5000 0.1270
Dy2 Dy 0.0000 0.5000 0.3753
Dy3 Dy 0.5000 0.5000 0.0000
Dy4 Dy 0.5000 0.5000 0.2495
Dy5 Dy 0.5000 0.5000 0.5000
In1 In 0.0000 0.0000 0.2515
In2 In 0.0000 0.0000 0.5000

# 2
# LiDy3In4, relaxed, DFT PBE
# ΔE_f ... -0.429 eV/atom
# D(E_F) ... 0.4673 states/eV per atom
# Calculated total energy ... -3.7635 eV per atom
# Density ... 8.0 g/cm³
# Magnetic moment ... 0.3 μB/f.u.
data_LiDy3In4
_symmetry_space_group_name_H-M 'P 4/m m m'
_symmetry_Int_Tables_number 123
_symmetry_space_group_name_Hall '-P 4 2'
_cell_length_a 3.4943
_cell_length_b 3.4943
_cell_length_c 16.1435
_cell_angle_alpha 90.00
_cell_angle_beta 90.00
_cell_angle_gamma 90.00
loop_
_atom_site_label
_atom_site_type_symbol
_atom_site_fract_x
_atom_site_fract_y
_atom_site_fract_z
Li1 Li 0.0000 0.0000 0.0000
Dy1 Dy 0.0000 0.0000 0.2318
Dy2 Dy 0.0000 0.0000 0.5000
In1 In 0.5000 0.5000 0.0968
In2 In 0.5000 0.5000 0.3651

# 3
# Li2DyIn2, relaxed, DFT PBE
# ΔE_f ... -0.299 eV/atom
# D(E_F) ... 0.4736 states/eV per atom
# Calculated total energy ... -3.0803 eV per atom
# Density ... 6.3 g/cm³
# Magnetic moment ... 0.0 μB/f.u.
data_Li2DyIn2
_symmetry_space_group_name_H-M 'P 4/m b m'
_symmetry_Int_Tables_number 127
_symmetry_space_group_name_Hall '-P 4 2ab'
_cell_length_a 8.2386
_cell_length_b 8.2386
_cell_length_c 3.1508
_cell_angle_alpha 90.00
_cell_angle_beta 90.00
_cell_angle_gamma 90.00
loop_
_atom_site_label
_atom_site_type_symbol
_atom_site_fract_x
_atom_site_fract_y
_atom_site_fract_z
Li1 Li 0.1168 0.3832 0.0000
Dy1 Dy 0.0000 0.0000 0.0000
In1 In 0.1797 0.6797 0.5000

# 4
# LiDyIn2, relaxed, DFT PBE
# ΔE_f ... -0.393 eV/atom
# D(E_F) ... 0.2249 states/eV per atom
# Calculated total energy ... -3.3917 eV per atom
# ΔE to the lowest computed polymorph ... 0.00 eV per formula unit
# Density ... 6.9 g/cm³
# Magnetic moment ... 0.0 μB/f.u.
data_LiDyIn2
_symmetry_space_group_name_H-M 'P 4/m m m'
_symmetry_Int_Tables_number 123
_symmetry_space_group_name_Hall '-P 4 2'
_cell_length_a 4.9883
_cell_length_b 4.9883
_cell_length_c 3.8707
_cell_angle_alpha 90.00
_cell_angle_beta 90.00
_cell_angle_gamma 90.00
loop_
_atom_site_label
_atom_site_type_symbol
_atom_site_fract_x
_atom_site_fract_y
_atom_site_fract_z
Li1 Li 0.0000 0.0000 0.0000
Dy1 Dy 0.5000 0.5000 0.0000
In1 In 0.0000 0.5000 0.5000

# 5
# LiDy5In6, relaxed, DFT PBE
# ΔE_f ... -0.439 eV/atom
# D(E_F) ... 0.6116 states/eV per atom
# Calculated total energy ... -3.8853 eV per atom
# Density ... 8.1 g/cm³
# Magnetic moment ... 0.0 μB/f.u.
data_LiDy5In6
_symmetry_space_group_name_H-M 'I m m m'
_symmetry_Int_Tables_number 71
_symmetry_space_group_name_Hall '-I 2 2'
_cell_length_a 5.2134
_cell_length_b 7.5062
_cell_length_c 15.7292
_cell_angle_alpha 90.00
_cell_angle_beta 90.00
_cell_angle_gamma 90.00
loop_
_atom_site_label
_atom_site_type_symbol
_atom_site_fract_x
_atom_site_fract_y
_atom_site_fract_z
Li1 Li 0.0000 0.0000 0.0000
Dy1 Dy 0.0000 0.0000 0.3369
Dy2 Dy 0.0000 0.5000 0.0000
Dy3 Dy 0.0000 0.5000 0.3295
In1 In 0.0000 0.2391 0.1602
In2 In 0.0000 0.2726 0.5000

# 6
# Li4DyIn5, relaxed, DFT PBE
# ΔE_f ... -0.317 eV/atom
# D(E_F) ... 0.3473 states/eV per atom
# Calculated total energy ... -2.9123 eV per atom
# Density ... 6.0 g/cm³
# Magnetic moment ... 0.2 μB/f.u.
data_Li4DyIn5
_symmetry_space_group_name_H-M 'P 4/m m m'
_symmetry_Int_Tables_number 123
_symmetry_space_group_name_Hall '-P 4 2'
_cell_length_a 3.5187
_cell_length_b 3.5187
_cell_length_c 16.9511
_cell_angle_alpha 90.00
_cell_angle_beta 90.00
_cell_angle_gamma 90.00
loop_
_atom_site_label
_atom_site_type_symbol
_atom_site_fract_x
_atom_site_fract_y
_atom_site_fract_z
Li1 Li 0.0000 0.0000 0.0942
Li2 Li 0.0000 0.0000 0.2828
Dy1 Dy 0.0000 0.0000 0.5000
In1 In 0.5000 0.5000 0.0000
In2 In 0.5000 0.5000 0.1893
In3 In 0.5000 0.5000 0.3755